No. 1
## SiNi2Pt (PBE)

Data for crystalline SiNi2Pt at its relaxed geometry.

Calculated values
Theoretical density: 10.45 g/cm3
Formation energy from raw total energies: -0.340 eV per formula unit

Lattice parameters (Å, degrees): 8.9684 8.9684 8.9684 157.20 157.20 32.46
Fractional coordinates of all 8 atoms:
Si 0.0000 0.0000 0.0000
Si 0.7500 0.2500 0.5000
Ni 0.1072 0.6250 0.9822
Ni 0.3750 0.3572 0.4822
Ni 0.6428 0.1250 0.0178
Ni 0.8750 0.8928 0.5178
Pt 0.2500 0.7500 0.5000
Pt 0.5000 0.5000 0.0000



No. 2
## NbH3Rh (PBE)

Data for crystalline NbH3Rh at its relaxed geometry.

Calculated values
Theoretical density: 7.95 g/cm3
E: -5.524 eV/atom

Lattice parameters (Å, degrees): 3.4634 3.4634 3.4634 90.00 90.00 90.00
Fractional coordinates of all 5 atoms:
Nb 0.0000 0.0000 0.0000
H 0.0000 0.5000 0.5000
H 0.5000 0.0000 0.5000
H 0.5000 0.5000 0.0000
Rh 0.5000 0.5000 0.5000



No. 3
## LaCrC3 (PBE)

Data for crystalline LaCrC3 at its relaxed geometry.

Calculated values
Calculated formation energy: 2.87 eV/atom
Theoretical density: 4.29 g/cm3
Relative energy among the computed polymorphs: 2268 meV/atom

Lattice parameters (Å, degrees): 4.4462 4.4462 4.4462 90.00 90.00 90.00
Fractional coordinates of all 5 atoms:
La 0.0000 0.0000 0.0000
Cr 0.5000 0.5000 0.5000
C 0.0000 0.0000 0.5000
C 0.0000 0.5000 0.0000
C 0.5000 0.0000 0.0000



No. 4
## U2CuSb4 (PBE)

Data for crystalline U2CuSb4 at its relaxed geometry.

Calculated values
Theoretical density: 9.76 g/cm3
Formation energy from raw total energies: -1.803 eV per formula unit

Lattice parameters (Å, degrees): 4.3434 4.3434 9.2571 90.00 90.00 90.00
Fractional coordinates of all 7 atoms:
U 0.0000 0.5000 0.2364
U 0.5000 0.0000 0.7637
Cu 0.5000 0.5000 0.0000
Sb 0.0000 0.0000 0.5000
Sb 0.0000 0.5000 0.8440
Sb 0.5000 0.0000 0.1560
Sb 0.5000 0.5000 0.5000



No. 5
## Na2Tl6CdIn (PBE)

Data for crystalline Na2Tl6CdIn at its relaxed geometry.

Calculated values
Calculated formation energy: 0.00 eV/atom
Theoretical density: 8.35 g/cm3

Lattice parameters (Å, degrees): 8.4340 8.1310 11.4002 90.00 130.29 90.00
Fractional coordinates of all 20 atoms:
Na 0.2501 0.1676 0.0581
Na 0.2501 0.3324 0.5581
Na 0.7499 0.6676 0.4419
Na 0.7499 0.8324 0.9419
Tl 0.0209 0.6450 0.3080
Tl 0.0209 0.8550 0.8080
Tl 0.2658 0.7022 0.6956
Tl 0.2658 0.7978 0.1956
Tl 0.4067 0.1222 0.8594
Tl 0.4067 0.3778 0.3594
Tl 0.5933 0.6222 0.6406
Tl 0.5933 0.8778 0.1406
Tl 0.7342 0.2022 0.8044
Tl 0.7342 0.2978 0.3044
Tl 0.9791 0.1450 0.1920
Tl 0.9791 0.3550 0.6920
Cd 0.0000 0.0000 0.5000
Cd 0.0000 0.5000 0.0000
In 0.5000 0.0000 0.5000
In 0.5000 0.5000 0.0000



No. 6
## Y2AlRe (PBE)

Data for crystalline Y2AlRe at its relaxed geometry.

Calculated values
Calculated formation energy: 0.24 eV/atom
Theoretical density: 6.96 g/cm3

Lattice parameters (Å, degrees): 9.4825 9.4825 9.4825 20.71 20.71 20.71
Fractional coordinates of all 4 atoms:
Y 0.2418 0.2418 0.2418
Y 0.7582 0.7582 0.7582
Al 0.0000 0.0000 0.0000
Re 0.5000 0.5000 0.5000



No. 7
## NdScCu4 (PBE)

Data for crystalline NdScCu4 at its relaxed geometry.

Calculated values
Calculated formation energy: -0.18 eV/atom
Theoretical density: 6.82 g/cm3
Relative energy among the computed polymorphs: 0 meV/atom

Lattice parameters (Å, degrees): 5.5595 5.5595 5.5595 137.43 101.84 93.35
Fractional coordinates of all 6 atoms:
Nd 0.0000 0.0000 0.0000
Sc 0.5000 0.0000 0.5000
Cu 0.1154 0.3383 0.7771
Cu 0.4389 0.6617 0.7771
Cu 0.5611 0.3383 0.2229
Cu 0.8846 0.6617 0.2229



No. 8
## KCrPb2Cl8 (PBE)

Data for crystalline KCrPb2Cl8 at its relaxed geometry.

Calculated values
Theoretical density: 3.64 g/cm3
Formation energy from raw total energies: -14.831 eV per formula unit

Lattice parameters (Å, degrees): 6.3458 6.5829 8.6170 90.03 90.14 91.54
Fractional coordinates of all 12 atoms:
K 0.0000 0.0000 0.0000
Cr 0.0000 0.0000 0.5000
Pb 0.4994 0.4999 0.7391
Pb 0.5006 0.5001 0.2609
Cl 0.2114 0.7037 0.4993
Cl 0.2192 0.1444 0.3037
Cl 0.2204 0.1428 0.6972
Cl 0.2716 0.6293 0.9999
Cl 0.7284 0.3707 0.0001
Cl 0.7796 0.8572 0.3028
Cl 0.7808 0.8556 0.6963
Cl 0.7886 0.2963 0.5007